Compound: HgHSN2
Source: Alexandria via LeMat-Bulk
Functional: PBE
Structure: relaxed

a = 4.380 Å, b = 4.380 Å, c = 5.349 Å
α = 90.00°, β = 90.00°, γ = 90.00°
Fractional positions:
Hg1 0.000 0.000 0.000
H1 0.500 0.500 0.500
S1 0.000 0.000 0.500
N1 0.000 0.500 0.000
N2 0.500 0.000 0.000

Computed properties:
Total magnetization   4.33 μB per formula unit
Offset from the most stable computed form   416.5 meV/atom
SG   P4/mmm

***

Compound: Mn5V6Si
Source: Alexandria via LeMat-Bulk
Functional: PBE
Structure: relaxed

a = 7.055 Å, b = 7.055 Å, c = 7.055 Å
α = 146.53°, β = 131.29°, γ = 60.39°
Fractional positions:
Mn1 0.000 0.000 0.000
Mn2 0.168 0.668 0.500
Mn3 0.338 0.338 0.000
Mn4 0.662 0.662 0.000
Mn5 0.832 0.332 0.500
V1 0.076 0.830 0.245
V2 0.239 0.500 0.739
V3 0.415 0.170 0.245
V4 0.585 0.830 0.755
V5 0.761 0.500 0.261
V6 0.924 0.170 0.755
Si1 0.500 0.000 0.500

Computed properties:
Total magnetization   0.00 μB per formula unit
SG   Immm
Formation energy without anion corrections   -0.273 eV/atom

***

Compound: YNiMo2
Source: Alexandria via LeMat-Bulk
Functional: PBE
Structure: relaxed

a = 5.564 Å, b = 5.564 Å, c = 2.837 Å
α = 100.01°, β = 100.01°, γ = 122.81°
Fractional positions:
Y1 0.000 0.000 0.000
Ni1 0.500 0.500 0.000
Mo1 0.000 0.500 0.500
Mo2 0.500 0.000 0.500

Computed properties:
Total magnetization   0.00 μB per formula unit
Formation energy   0.4098 eV per atom
Offset from the most stable computed form   292.6 meV/atom
SG   C2/m

***

Compound: CaOsSe2
Source: Alexandria via LeMat-Bulk
Functional: PBE
Structure: relaxed

a = 4.805 Å, b = 4.805 Å, c = 4.805 Å
α = 60.00°, β = 60.00°, γ = 60.00°
Fractional positions:
Ca1 0.000 0.000 0.000
Os1 0.750 0.750 0.750
Se1 0.250 0.250 0.250
Se2 0.500 0.500 0.500

Computed properties:
Total magnetization   0.00 μB per formula unit
Offset from the most stable computed form   1144.5 meV/atom
SG   F-43m
Formation energy without anion corrections   0.508 eV/atom

***

- Look up the total magnetization of the first one.
  4.33 μB per formula unit